# SrTlO3 (PBE-GGA, optimized geometry)
data_SrTlO3
_chemical_formula_sum 'Sr1 Tl1 O3'
_cell_length_a 4.2251
_cell_length_b 4.2251
_cell_length_c 4.2251
_cell_angle_alpha 90.00
_cell_angle_beta 90.00
_cell_angle_gamma 90.00
_symmetry_space_group_name_H-M 'P m -3 m'
_symmetry_Int_Tables_number 221
_symmetry_space_group_name_Hall '-P 4 2 3'
loop_
_atom_site_label
_atom_site_fract_x
_atom_site_fract_y
_atom_site_fract_z
Sr1 0.0000 0.0000 0.0000
Tl1 0.5000 0.5000 0.5000
O1 0.0000 0.5000 0.5000
# E (eV/atom): -4.98
# Uncorrected formation energy (kJ per mole of atoms): -116


# SrTl3O (PBE-GGA, optimized geometry)
data_SrTl3O
_chemical_formula_sum 'Sr1 Tl3 O1'
_cell_length_a 5.2182
_cell_length_b 5.2182
_cell_length_c 5.2182
_cell_angle_alpha 90.00
_cell_angle_beta 90.00
_cell_angle_gamma 90.00
_symmetry_space_group_name_H-M 'P m -3 m'
_symmetry_Int_Tables_number 221
_symmetry_space_group_name_Hall '-P 4 2 3'
loop_
_atom_site_label
_atom_site_fract_x
_atom_site_fract_y
_atom_site_fract_z
Sr1 0.0000 0.0000 0.0000
Tl1 0.0000 0.5000 0.5000
O1 0.5000 0.5000 0.5000
# E (eV/atom): -3.05
# Relative energy among the computed polymorphs (meV/atom): 0
# Uncorrected formation energy (kJ per mole of atoms): -29


# Sr5Tl2O2 (PBE-GGA, optimized geometry)
data_Sr5Tl2O2
_chemical_formula_sum 'Sr20 Tl8 O8'
_cell_length_a 20.7279
_cell_length_b 7.4506
_cell_length_c 7.3656
_cell_angle_alpha 90.00
_cell_angle_beta 90.00
_cell_angle_gamma 90.00
_symmetry_space_group_name_H-M 'I m a 2'
_symmetry_Int_Tables_number 46
loop_
_symmetry_equiv_pos_as_xyz
'x,y,z'
'-x,-y,z'
'-x+1/2,y,z'
'x+1/2,-y,z'
'x+1/2,y+1/2,z+1/2'
'-x+1/2,-y+1/2,z+1/2'
'-x,y+1/2,z+1/2'
'x,-y+1/2,z+1/2'
loop_
_atom_site_label
_atom_site_fract_x
_atom_site_fract_y
_atom_site_fract_z
Sr1 0.0052 0.2481 0.0000
Sr2 0.1434 0.5317 0.7625
Sr3 0.2500 0.1460 0.8965
Tl1 0.1086 0.5059 0.2446
O1 0.0000 0.0000 0.2517
O2 0.2500 0.0820 0.2196
# E (eV/atom): -3.85
# Uncorrected formation energy (kJ per mole of atoms): -124


# SrTl2O3 (PBE-GGA, optimized geometry)
data_SrTl2O3
_chemical_formula_sum 'Sr4 Tl8 O12'
_cell_length_a 6.6079
_cell_length_b 12.8049
_cell_length_c 5.9770
_cell_angle_alpha 90.00
_cell_angle_beta 90.00
_cell_angle_gamma 90.00
_symmetry_space_group_name_H-M 'C m c m'
_symmetry_Int_Tables_number 63
_symmetry_space_group_name_Hall '-C 2c 2'
loop_
_atom_site_label
_atom_site_fract_x
_atom_site_fract_y
_atom_site_fract_z
Sr1 0.0000 0.2412 0.2500
Tl1 0.2494 0.0000 0.0000
O1 0.0000 0.4281 0.7500
O2 0.2399 0.1404 0.7500
# E (eV/atom): -4.41
# Uncorrected formation energy (kJ per mole of atoms): -83


# SrTlO2 (PBE-GGA, optimized geometry)
data_SrTlO2
_chemical_formula_sum 'Sr4 Tl4 O8'
_cell_length_a 7.6553
_cell_length_b 5.1707
_cell_length_c 8.1770
_cell_angle_alpha 90.00
_cell_angle_beta 90.00
_cell_angle_gamma 90.00
_symmetry_space_group_name_H-M 'P n m a'
_symmetry_Int_Tables_number 62
loop_
_symmetry_equiv_pos_as_xyz
'x,y,z'
'-x,-y,-z'
'-x+1/2,-y,z+1/2'
'x+1/2,y,-z+1/2'
'x+1/2,-y+1/2,-z+1/2'
'-x+1/2,y+1/2,z+1/2'
'-x,y+1/2,-z'
'x,-y+1/2,z'
loop_
_atom_site_label
_atom_site_fract_x
_atom_site_fract_y
_atom_site_fract_z
Sr1 0.1003 0.2500 0.1286
Tl1 0.0851 0.2500 0.6282
O1 0.0781 0.7500 0.6198
O2 0.0843 0.7500 0.1247
# E (eV/atom): -5.11
# Relative energy among the computed polymorphs (meV/atom): 34
# Uncorrected formation energy (kJ per mole of atoms): -156


# Sr2Tl2O5 (PBE-GGA, optimized geometry)
data_Sr2Tl2O5
_chemical_formula_sum 'Sr8 Tl8 O20'
_cell_length_a 6.1097
_cell_length_b 14.1148
_cell_length_c 7.1000
_cell_angle_alpha 90.00
_cell_angle_beta 106.42
_cell_angle_gamma 90.00
_symmetry_space_group_name_H-M 'P 1 21/c 1'
_symmetry_Int_Tables_number 14
loop_
_symmetry_equiv_pos_as_xyz
'x,y,z'
'-x,-y,-z'
'-x,y+1/2,-z+1/2'
'x,-y+1/2,z+1/2'
loop_
_atom_site_label
_atom_site_fract_x
_atom_site_fract_y
_atom_site_fract_z
Sr1 0.0521 0.1131 0.1373
Sr2 0.4303 0.7344 0.7391
Tl1 0.0472 0.1066 0.6376
Tl2 0.5000 0.0000 0.0000
Tl3 0.5000 0.0000 0.5000
O1 0.1341 0.7345 0.9201
O2 0.2064 0.5342 0.1776
O3 0.2315 0.5552 0.6831
O4 0.3389 0.1381 0.4645
O5 0.3545 0.1399 0.9638
# E (eV/atom): -5.30
# Relative energy among the computed polymorphs (meV/atom): 4
# Uncorrected formation energy (kJ per mole of atoms): -159


# SrTlO2 (PBE-GGA, optimized geometry)
data_SrTlO2
_chemical_formula_sum 'Sr4 Tl4 O8'
_cell_length_a 6.3621
_cell_length_b 6.3621
_cell_length_c 6.3621
_cell_angle_alpha 90.00
_cell_angle_beta 90.00
_cell_angle_gamma 90.00
_symmetry_space_group_name_H-M 'F m -3 m'
_symmetry_Int_Tables_number 225
_symmetry_space_group_name_Hall '-F 4 2 3'
loop_
_atom_site_label
_atom_site_fract_x
_atom_site_fract_y
_atom_site_fract_z
Sr1 0.0000 0.0000 0.0000
Tl1 0.0000 0.0000 0.5000
O1 0.2500 0.2500 0.2500
# E (eV/atom): -4.76
# Relative energy among the computed polymorphs (meV/atom): 385
# Uncorrected formation energy (kJ per mole of atoms): -122


# Sr3TlO4 (PBE-GGA, optimized geometry)
data_Sr3TlO4
_chemical_formula_sum 'Sr6 Tl2 O8'
_cell_length_a 5.1218
_cell_length_b 8.6234
_cell_length_c 7.4739
_cell_angle_alpha 90.00
_cell_angle_beta 90.00
_cell_angle_gamma 90.00
_symmetry_space_group_name_H-M 'P m m n'
_symmetry_Int_Tables_number 59
loop_
_symmetry_equiv_pos_as_xyz
'x,y,z'
'-x,-y,-z'
'-x+1/2,-y+1/2,z'
'x+1/2,y+1/2,-z'
'x+1/2,-y,-z'
'-x+1/2,y,z'
'-x,y+1/2,-z'
'x,-y+1/2,z'
loop_
_atom_site_label
_atom_site_fract_x
_atom_site_fract_y
_atom_site_fract_z
Sr1 0.2500 0.0014 0.1688
Sr2 0.2500 0.2500 0.6565
Tl1 0.2500 0.7500 0.6712
O1 0.2500 0.0075 0.8357
O2 0.2500 0.2500 0.3279
O3 0.2500 0.7500 0.3342
# E (eV/atom): -5.56
# Relative energy among the computed polymorphs (meV/atom): 53
# Uncorrected formation energy (kJ per mole of atoms): -208


Which value of uncorrected formation energy does entry 7 give?
-122 kJ per mole of atoms